NdCoSi3Rh | Alexandria | PBE | relaxed; magnetization = 0.00 μB/cell; formation energy without anion corrections = -539 meV per atom; E = -6.4551 eV/atom
1.0
3.091 -6.121 0.000
3.091 6.121 0.000
0.000 0.000 5.774
Nd Co Si Rh
2 2 6 2
direct
0.229 0.771 0.750 Nd
0.771 0.229 0.250 Nd
0.401 0.599 0.250 Co
0.599 0.401 0.750 Co
0.231 0.769 0.250 Si
0.299 0.299 0.000 Si
0.299 0.299 0.500 Si
0.701 0.701 0.000 Si
0.701 0.701 0.500 Si
0.769 0.231 0.750 Si
0.050 0.950 0.250 Rh
0.950 0.050 0.750 Rh

NdCoSi2Rh | Alexandria | PBE | relaxed; magnetization = 0.00 μB/cell; formation energy without anion corrections = -908 meV per atom; E = -6.9227 eV/atom
1.0
-2.012 2.012 5.063
2.012 -2.012 5.063
2.012 2.012 -5.063
Nd Co Si Rh
1 1 2 1
direct
0.000 0.000 0.000 Nd
0.750 0.250 0.500 Co
0.372 0.372 0.000 Si
0.628 0.628 0.000 Si
0.250 0.750 0.500 Rh